(1)
DFT (GGA-PBE) results for DyHo4Pt4 after structural relaxation.

a = 5.7081 Å, b = 8.9882 Å, c = 8.9882 Å
α = 90.00°, β = 90.00°, γ = 90.00°
Last column: nearest neighbours and their distance in Å.
Fractional positions:
Dy: 0.0000 0.0000 0.0000  4 Pt 2.83
Dy: 0.5000 0.5000 0.5000  4 Pt 2.83
Ho: 0.4164 0.3261 0.9043  5 Pt 2.83-2.89
Ho: 0.9164 0.5957 0.8261  5 Pt 2.83-2.89
Ho: 0.4164 0.6739 0.0957  5 Pt 2.83-2.89
Ho: 0.0836 0.1739 0.5957  5 Pt 2.83-2.89
Ho: 0.5836 0.9043 0.6739  5 Pt 2.83-2.89
Ho: 0.0836 0.8261 0.4043  5 Pt 2.83-2.89
Ho: 0.9164 0.4043 0.1739  5 Pt 2.83-2.89
Ho: 0.5836 0.0957 0.3261  5 Pt 2.83-2.89
Pt: 0.5838 0.7848 0.3773  1 Dy 2.83, 5 Ho 2.83-2.89, 1 Pt 3.04
Pt: 0.5838 0.2152 0.6227  1 Dy 2.83, 5 Ho 2.83-2.89, 1 Pt 3.04
Pt: 0.0838 0.8773 0.7152  1 Dy 2.83, 5 Ho 2.83-2.89, 1 Pt 3.04
Pt: 0.9162 0.2848 0.8773  1 Dy 2.83, 5 Ho 2.83-2.89, 1 Pt 3.04
Pt: 0.9162 0.7152 0.1227  1 Dy 2.83, 5 Ho 2.83-2.89, 1 Pt 3.04
Pt: 0.4162 0.3773 0.2152  1 Dy 2.83, 5 Ho 2.83-2.89, 1 Pt 3.04
Pt: 0.4162 0.6227 0.7848  1 Dy 2.83, 5 Ho 2.83-2.89, 1 Pt 3.04
Pt: 0.0838 0.1227 0.2848  1 Dy 2.83, 5 Ho 2.83-2.89, 1 Pt 3.04

Computed properties:
Formation enthalpy at 0 K = -1.0654 eV/atom
DOS at the Fermi energy = 12.65 states/eV/cell
Space group = P4_2/n (86)
VASP energy = -113.33 eV for the cell shown

(2)
DFT (GGA-PBE) results for KRe2Si after structural relaxation.

a = 10.1544 Å, b = 10.1544 Å, c = 10.1544 Å
α = 16.28°, β = 16.28°, γ = 16.28°
Last column: nearest neighbours and their distance in Å.
Fractional positions:
K: 0.7533 0.7533 0.7533  6 K 2.88
Re: 0.9836 0.9836 0.9836  9 Re 2.64-2.88
Re: 0.2486 0.2486 0.2486  3 Si 2.62, 9 Re 2.64-2.88
Si: 0.5144 0.5144 0.5144  3 Re 2.62, 6 Si 2.88

Computed properties:
DOS at the Fermi energy = 1.99 states/eV/cell
Space group = R3m (160)
VASP energy = -29.38 eV for the cell shown

(3)
DFT (GGA-PBE) results for CaTaOs2 after structural relaxation.

a = 4.5934 Å, b = 4.5934 Å, c = 4.5934 Å
α = 60.00°, β = 60.00°, γ = 60.00°
Last column: nearest neighbours and their distance in Å.
Fractional positions:
Ca: 0.0000 0.0000 0.0000  8 Os 2.81
Os: 0.2500 0.2500 0.2500  4 Ta 2.81, 4 Ca 2.81
Os: 0.7500 0.7500 0.7500  4 Ta 2.81, 4 Ca 2.81
Ta: 0.5000 0.5000 0.5000  8 Os 2.81

Computed properties:
Formation enthalpy at 0 K = 0.1744 eV/atom
DOS at the Fermi energy = 3.67 states/eV/cell
Space group = Fm-3m (225)
ΔE to the lowest computed polymorph = 15.38 kJ/mol of atoms
VASP energy = -35.62 eV for the cell shown

no.,calculated volume (Å³ per atom)
1,25.619
2,17.942
3,17.132